No. 1
The following is a PBE calculation of a relaxed MgFe2Co crystal, from the Alexandria database.

POSCAR file:
```
MgFe2Co
1.0
4.916 0.033 0.031
4.053 2.782 0.031
1.808 0.568 3.816
Co Fe Mg
1 2 1
direct
0.265 0.265 0.235
0.995 0.995 0.005
0.735 0.735 0.766
0.505 0.505 0.495
```

Output
Energy in eV/atom: -6.27
Formation energy in meV per atom: 137.2


No. 2
The following is a PBE calculation of a relaxed MnAg2HgPt crystal, from the Alexandria database.

POSCAR file:
```
MnAg2HgPt
1.0
5.137 0.000 0.000
0.000 5.138 0.000
0.000 0.000 5.137
Ag Mn Hg Pt
2 1 1 1
direct
0.000 0.000 0.500
0.500 0.000 0.000
0.500 0.500 0.500
0.000 0.500 0.000
0.000 0.000 0.000
```

Output
Energy in eV/atom: -3.41
Formation energy in meV per atom: 828.5


No. 3
The following is a PBE calculation of a relaxed RePtSe2 crystal, from the Alexandria database.

POSCAR file:
```
RePtSe2
1.0
-0.180 -2.699 -0.933
0.451 0.444 2.791
-9.518 0.109 1.521
Pt Re Se
1 1 2
direct
0.500 0.500 0.250
0.500 0.500 0.750
0.000 0.000 0.973
0.000 0.000 0.527
```

Output
Polymorph energy (0 for the lowest one) in meV per atom: 526
Energy in eV/atom: -5.75


No. 4
The following is a PBE calculation of a relaxed PmEr2TmTl4 crystal, from the Alexandria database.

POSCAR file:
```
PmEr2TmTl4
1.0
5.363 0.000 0.000
2.681 4.644 0.000
2.681 1.548 8.799
Pm Er Tm Tl
1 2 1 4
direct
0.000 0.000 0.000
0.751 0.751 0.748
0.249 0.249 0.252
0.500 0.500 0.500
0.377 0.377 0.870
0.873 0.873 0.380
0.127 0.127 0.620
0.623 0.623 0.130
```

Output
Energy in eV/atom: -3.80
Formation energy in meV per atom: -323.5


No. 5
The following is a PBE calculation of a relaxed KH3Au crystal, from the Alexandria database.

POSCAR file:
```
KH3Au
1.0
-4.087 3.513 1.995
-2.303 -0.965 -7.212
-3.593 -2.186 1.440
H K Au
6 2 2
direct
0.464 0.998 0.434
0.574 0.081 0.379
0.476 0.255 0.928
0.877 0.771 0.228
0.625 0.280 0.854
0.474 0.701 0.929
0.872 0.980 0.730
0.481 0.491 0.426
0.171 0.727 0.081
0.015 0.323 0.159
```

Output
Polymorph energy (0 for the lowest one) in meV per atom: 19
Energy in eV/atom: -3.04


No. 6
The following is a PBE calculation of a relaxed KMgBeSe crystal, from the Alexandria database.

POSCAR file:
```
KMgBeSe
1.0
3.650 0.000 0.000
0.000 3.650 0.000
0.000 0.000 7.059
Be K Mg Se
1 1 1 1
direct
0.500 0.500 0.289
0.000 0.000 0.654
0.000 0.000 0.169
0.500 0.500 0.976
```

Output
Polymorph energy (0 for the lowest one) in meV per atom: 80
Energy in eV/atom: -2.67


no.,V (Å³ per atom)
1,12.9
2,27.1
3,17.4
4,27.4
5,17.6
6,23.5